# 1
BaPCO2 PBE optimized geometry; DOS(E_F) = 4.87 states/eV/cell; space group = No. 123; raw total energy = -3.67 eV per atom; polymorph energy (0 for the lowest one) = 1503.1 meV per atom
1.0
-0.932 -2.859 -3.202
2.612 -2.978 1.898
-6.158 -2.715 4.216
P O Ba C
1 2 1 1
Direct
0.000 0.000 0.500 P
0.000 0.500 0.000 O
0.500 0.000 0.000 O
0.000 0.000 0.000 Ba
0.500 0.500 0.500 C

***

# 2
BaPCO2 PBE optimized geometry; DOS(E_F) = 2.66 states/eV/cell; space group = No. 123; raw total energy = -5.18 eV per atom; polymorph energy (0 for the lowest one) = 0.0 meV per atom
1.0
4.520 0.000 0.000
0.000 4.520 0.000
0.000 0.000 3.548
O C P Ba
2 1 1 1
Direct
0.000 0.500 0.000 O
0.500 0.000 0.000 O
0.000 0.000 0.000 C
0.000 0.000 0.500 P
0.500 0.500 0.500 Ba

***

# 3
BaPbC2O6 PBE optimized geometry; DOS(E_F) = 0.00 states/eV/cell; space group = No. 15; raw total energy = -7.19 eV per atom
1.0
-6.818 0.662 0.440
0.334 -6.456 -2.307
2.217 -0.435 6.899
Ba C Pb O
2 4 2 12
Direct
0.854 0.146 0.750 Ba
0.146 0.854 0.250 Ba
0.628 0.864 0.282 C
0.136 0.372 0.218 C
0.372 0.136 0.718 C
0.864 0.628 0.782 C
0.596 0.404 0.250 Pb
0.404 0.596 0.750 Pb
0.486 0.720 0.135 O
0.514 0.280 0.865 O
0.598 0.047 0.341 O
0.953 0.402 0.159 O
0.720 0.486 0.635 O
0.792 0.815 0.376 O
0.402 0.953 0.659 O
0.280 0.514 0.365 O
0.815 0.792 0.876 O
0.208 0.185 0.624 O
0.185 0.208 0.124 O
0.047 0.598 0.841 O

***

# 4
BaPrC2O6 PBE optimized geometry; DOS(E_F) = 6.10 states/eV/cell; space group = No. 15; raw total energy = -7.59 eV per atom
1.0
6.659 -0.231 -0.013
-1.045 6.581 -0.013
-1.640 -1.855 6.684
O Ba C Pr
12 2 4 2
Direct
0.507 0.276 0.883 O
0.933 0.386 0.188 O
0.067 0.614 0.812 O
0.386 0.933 0.688 O
0.493 0.724 0.117 O
0.724 0.493 0.617 O
0.614 0.067 0.312 O
0.189 0.223 0.114 O
0.223 0.189 0.614 O
0.777 0.811 0.386 O
0.276 0.507 0.383 O
0.811 0.777 0.886 O
0.857 0.143 0.750 Ba
0.143 0.857 0.250 Ba
0.639 0.875 0.264 C
0.361 0.125 0.736 C
0.875 0.639 0.764 C
0.125 0.361 0.236 C
0.409 0.591 0.750 Pr
0.591 0.409 0.250 Pr

***

# 5
BaPtC2O8 PBE optimized geometry; DOS(E_F) = 5.62 states/eV/cell; space group = No. 12; raw total energy = -6.62 eV per atom
1.0
0.035 2.254 4.006
-1.811 -2.319 3.532
6.750 -2.977 2.437
C O Ba Pt
2 8 1 1
Direct
0.631 0.631 0.192 C
0.369 0.369 0.808 C
0.692 0.692 0.345 O
0.288 0.747 0.188 O
0.253 0.712 0.812 O
0.743 0.743 0.038 O
0.712 0.253 0.812 O
0.308 0.308 0.655 O
0.257 0.257 0.962 O
0.747 0.288 0.188 O
0.000 0.000 0.500 Ba
0.000 0.000 0.000 Pt

***

# 6
BaPuC2O8 PBE optimized geometry; DOS(E_F) = 6.08 states/eV/cell; space group = No. 147; raw total energy = -8.06 eV per atom
1.0
-2.628 2.208 3.387
-1.972 -3.479 -2.695
2.305 -5.437 5.332
O Pu C Ba
8 1 2 1
Direct
0.702 0.077 0.337 O
0.625 0.702 0.663 O
0.923 0.625 0.337 O
0.298 0.923 0.663 O
0.333 0.667 0.895 O
0.667 0.333 0.105 O
0.375 0.298 0.337 O
0.077 0.375 0.663 O
0.000 0.000 0.500 Pu
0.667 0.333 0.271 C
0.333 0.667 0.729 C
0.000 0.000 0.000 Ba

***

# 7
RbBaC2O6 PBE optimized geometry; DOS(E_F) = 10.42 states/eV/cell; space group = No. 15; raw total energy = -6.94 eV per atom
1.0
-0.684 6.916 1.820
-3.783 -2.864 5.394
7.395 -1.750 1.622
C O Ba Rb
4 12 2 2
Direct
0.859 0.624 0.770 C
0.624 0.859 0.270 C
0.141 0.376 0.230 C
0.376 0.141 0.730 C
0.038 0.604 0.812 O
0.493 0.724 0.129 O
0.230 0.192 0.632 O
0.604 0.038 0.312 O
0.192 0.230 0.132 O
0.396 0.962 0.688 O
0.276 0.507 0.371 O
0.962 0.396 0.188 O
0.770 0.808 0.368 O
0.808 0.770 0.868 O
0.507 0.276 0.871 O
0.724 0.493 0.629 O
0.392 0.608 0.750 Ba
0.608 0.392 0.250 Ba
0.136 0.864 0.250 Rb
0.864 0.136 0.750 Rb

***

# 8
BaRhC2O6 PBE optimized geometry; DOS(E_F) = 2.11 states/eV/cell; space group = No. 148; raw total energy = -7.23 eV per atom
1.0
5.099 0.000 0.000
2.549 4.415 0.000
2.549 1.472 5.966
C O Rh Ba
2 6 1 1
Direct
0.764 0.764 0.709 C
0.236 0.236 0.291 C
0.298 0.959 0.283 O
0.959 0.460 0.283 O
0.460 0.298 0.283 O
0.540 0.702 0.717 O
0.041 0.540 0.717 O
0.702 0.041 0.717 O
0.500 0.500 0.500 Rh
0.000 0.000 0.000 Ba

***

no.,volume (Å³ per cell)
1,153.3
2,72.5
3,311.9
4,291.0
5,148.2
6,160.2
7,365.6
8,134.3